1:
VASP calculation (PBE-GGA) on crystalline SrPbCl at its relaxed geometry.

**Total moment**: 2.9 μB/f.u.

a b c (Å): 7.8603 7.8603 7.8603
angles (deg): 90.00 90.00 90.00
Space group F-43m (No. 216)
Unique sites:
Sr 0.0000 0.0000 0.0000 [4 per cell]
Pb 0.2500 0.2500 0.7500 [4 per cell]
Cl 0.2500 0.2500 0.2500 [4 per cell]

***

2:
VASP calculation (PBE-GGA) on crystalline SrPbCl at its relaxed geometry.

**Total moment**: 0.0 μB/f.u.

a b c (Å): 3.6757 3.6757 15.9929
angles (deg): 90.00 90.00 90.00
Space group I4mm (No. 107)
Unique sites:
Sr 0.0000 0.0000 0.0000 [2 per cell]
Pb 0.0000 0.0000 0.3273 [2 per cell]
Cl 0.0000 0.0000 0.5885 [2 per cell]

***

Relative energies with respect to the most stable structure, expressed in eV/atom: 1 0.549; 2 0.000.

***

1:
VASP calculation (PBE-GGA) on crystalline SrPb2Cl at its relaxed geometry.

**Total moment**: 0.0 μB/f.u.

a b c (Å): 4.4098 4.4098 27.7787
angles (deg): 90.00 90.00 90.00
Space group I-42d (No. 122)
Unique sites:
Sr 0.0000 0.0000 0.0000 [4 per cell]
Pb 0.2407 0.2500 0.1250 [8 per cell]
Cl 0.0000 0.0000 0.5000 [4 per cell]

***

2:
VASP calculation (PBE-GGA) on crystalline SrPb2Cl at its relaxed geometry.

**Total moment**: 0.0 μB/f.u.

a b c (Å): 5.8272 12.5733 3.9101
angles (deg): 90.00 90.00 90.00
Space group Cmmm (No. 65)
Unique sites:
Sr 0.0000 0.0000 0.0000 [2 per cell]
Pb 0.2500 0.2500 0.5000 [4 per cell]
Cl 0.0000 0.5000 0.0000 [2 per cell]

***

Relative energies with respect to the most stable structure, expressed in eV/atom: 1 0.000; 2 0.235.